Computed, not measured: crystalline Cs4Na2Pt at its relaxed geometry at the PBE level of DFT.

Cell and atoms, written as POSCAR:
```
Cs4Na2Pt
1.0
-3.392 3.392 10.907
3.392 -3.392 10.907
3.392 3.392 -10.907
Cs Na Pt
4 2 1
Direct
0.000 0.500 0.500 Cs
0.153 0.153 0.000 Cs
0.500 0.000 0.500 Cs
0.847 0.847 0.000 Cs
0.352 0.352 0.000 Na
0.648 0.648 0.000 Na
0.000 0.000 0.000 Pt
```

## Properties
The value obtained for the volume is 502 Å³ per cell. The mass density comes out at 2.6 g/cm³. Its formation energy is 0.2 eV/f.u.